## LaNd3Al2 (GGA-PBE)

Data for an optimized crystal structure of LaNd3Al2.

It has space group Immm (No. 71), with a = 3.341 Å, b = 5.687 Å, c = 18.892 Å, α = 90.00°, β = 90.00° and γ = 90.00°. The asymmetric unit holds La at (0.000, 0.000, 0.000), Nd at (0.000, 0.000, 0.187), Nd at (0.000, 0.500, 0.000) and Al at (0.000, 0.000, 0.357).

As for the formation energy: 0.17 eV/atom. The calculation puts the density of states at the Fermi level at 1.308 states/eV/atom. The crystal system is orthorhombic. The calculation puts the mass density at 5.79 Mg/m³.